LiTh2Ge, relaxed, DFT PBE; ρ = 9.24 Mg/m³; formation enthalpy at 0 K = -0.269 eV per atom
1.0
4.8242 0.0000 0.0000
0.0000 4.8242 0.0000
0.0000 0.0000 4.1958
Li Th Ge
1 2 1
direct
0.0000 0.0000 0.0000
0.0000 0.5000 0.5000
0.5000 0.0000 0.5000
0.5000 0.5000 0.0000



Ho2SbAu, relaxed, DFT PBE; ρ = 10.06 Mg/m³; formation energy without anion corrections = -904 meV/atom
1.0
2.0368 -11.6646 0.0000
2.0368 11.6646 0.0000
0.0000 0.0000 4.5058
Ho Sb Au
4 2 2
direct
0.0608 0.9392 0.7500
0.3235 0.6765 0.7500
0.6765 0.3235 0.2500
0.9392 0.0608 0.2500
0.1907 0.8093 0.7500
0.8093 0.1907 0.2500
0.4575 0.5425 0.7500
0.5425 0.4575 0.2500



AcGdCdRh, relaxed, DFT PBE; ρ = 9.39 Mg/m³; formation enthalpy at 0 K = -0.383 eV per atom
1.0
0.0000 3.7560 3.7560
3.7560 0.0000 3.7560
3.7560 3.7560 0.0000
Ac Gd Cd Rh
1 1 1 1
direct
0.0000 0.0000 0.0000
0.5000 0.5000 0.5000
0.2500 0.2500 0.2500
0.7500 0.7500 0.7500